1.
Entry from Alexandria via LeMat-Bulk: an optimized crystal structure of PaZnSbAu (PBE-GGA).

Results
Volume: 22.45 A^3/atom
Calculated density: 11.38 g/cm³
Formation energy (no corrections): -0.18 eV per atom

a = 7.1080 Å, b = 7.1080 Å, c = 7.1080 Å
α = 90.00°, β = 90.00°, γ = 90.00°
Fractional positions:
Pa1 0.0000 0.0000 0.0000
Pa2 0.0000 0.5000 0.5000
Pa3 0.5000 0.0000 0.5000
Pa4 0.5000 0.5000 0.0000
Zn1 0.0000 0.0000 0.5000
Zn2 0.0000 0.5000 0.0000
Zn3 0.5000 0.0000 0.0000
Zn4 0.5000 0.5000 0.5000
Sb1 0.2500 0.2500 0.7500
Sb2 0.2500 0.7500 0.2500
Sb3 0.7500 0.2500 0.2500
Sb4 0.7500 0.7500 0.7500
Au1 0.2500 0.2500 0.2500
Au2 0.2500 0.7500 0.7500
Au3 0.7500 0.2500 0.7500
Au4 0.7500 0.7500 0.2500

2.
Entry from Alexandria via LeMat-Bulk: an optimized crystal structure of Sc2PaAu (PBE-GGA).

Results
Volume: 21.98 A^3/atom
Calculated density: 9.78 g/cm³
Energy of formation from the pure elements: -0.3264 eV per atom

a = 3.3573 Å, b = 3.3573 Å, c = 7.7986 Å
α = 90.00°, β = 90.00°, γ = 90.00°
Fractional positions:
Sc1 0.0000 0.0000 0.2207
Sc2 0.0000 0.0000 0.7793
Pa1 0.5000 0.5000 0.5000
Au1 0.5000 0.5000 0.0000

3.
Entry from Alexandria via LeMat-Bulk: an optimized crystal structure of ScPa2Au (PBE-GGA).

Results
Volume: 23.89 A^3/atom
Calculated density: 12.23 g/cm³
Energy of formation from the pure elements: 0.2474 eV per atom

a = 3.0866 Å, b = 3.0866 Å, c = 34.7443 Å
α = 90.00°, β = 90.00°, γ = 120.00°
Fractional positions:
Sc1 0.0000 0.0000 0.0000
Sc2 0.3333 0.6667 0.6667
Sc3 0.6667 0.3333 0.3333
Pa1 0.0000 0.0000 0.4133
Pa2 0.0000 0.0000 0.5867
Pa3 0.3333 0.6667 0.0800
Pa4 0.3333 0.6667 0.2533
Pa5 0.6667 0.3333 0.7467
Pa6 0.6667 0.3333 0.9200
Au1 0.0000 0.0000 0.5000
Au2 0.3333 0.6667 0.1667
Au3 0.6667 0.3333 0.8333